1.
First-principles (PBE) data for crystalline GdErCdGe at its relaxed geometry, as listed in Alexandria.

a b c (Å): 5.1555 5.1555 5.1555
angles (deg): 60.00 60.00 60.00
Closest atoms and distances in Å follow each position.
Fractional positions:
Gd: 0.0000 0.0000 0.0000  4 Cd 3.16, 4 Ge 3.16
Er: 0.5000 0.5000 0.5000  4 Cd 3.16, 4 Ge 3.16
Cd: 0.7500 0.7500 0.7500  4 Er 3.16, 4 Gd 3.16
Ge: 0.2500 0.2500 0.2500  4 Er 3.16, 4 Gd 3.16

Values from the calculation:
Energy of formation = -0.469 eV per atom
SG = F-43m (216)

2.
First-principles (PBE) data for crystalline K2ErCuBr6 at its relaxed geometry, as listed in Alexandria.

a b c (Å): 7.9557 8.6438 12.5737
angles (deg): 90.00 128.98 90.00
Closest atoms and distances in Å follow each position.
Fractional positions:
K: 0.2245 0.0887 0.2473  8 Br 3.30-3.58
K: 0.2245 0.4113 0.7473  8 Br 3.30-3.58
K: 0.7755 0.5887 0.2527  8 Br 3.30-3.58
K: 0.7755 0.9113 0.7527  8 Br 3.30-3.58
Er: 0.0000 0.0000 0.5000  6 Br 2.76-2.86
Er: 0.0000 0.5000 0.0000  6 Br 2.76-2.86
Cu: 0.5000 0.0000 0.0000  2 Br 2.32
Cu: 0.5000 0.5000 0.5000  2 Br 2.32
Br: 0.1166 0.2245 0.9505  1 Er 2.77
Br: 0.1166 0.2755 0.4505  1 Er 2.77
Br: 0.2400 0.6646 0.9495  1 Er 2.76
Br: 0.2400 0.8354 0.4495  1 Er 2.76
Br: 0.3810 0.0294 0.7791  1 Cu 2.32
Br: 0.3810 0.4706 0.2791  1 Cu 2.32
Br: 0.6190 0.5294 0.7209  1 Cu 2.32
Br: 0.6190 0.9706 0.2209  1 Cu 2.32
Br: 0.7600 0.1646 0.5505  1 Er 2.76
Br: 0.7600 0.3354 0.0505  1 Er 2.76
Br: 0.8834 0.7245 0.5495  1 Er 2.77
Br: 0.8834 0.7755 0.0495  1 Er 2.77

Values from the calculation:
Uncorrected formation energy = -1478 meV/atom
SG = P2_1/c (14)

3.
First-principles (PBE) data for crystalline Rb4Hg2Br at its relaxed geometry, as listed in Alexandria.

a b c (Å): 9.9383 9.9383 9.9383
angles (deg): 139.65 139.65 58.39
Closest atoms and distances in Å follow each position.
Fractional positions:
Rb: 0.0000 0.5000 0.5000  2 Br 3.43, 4 Hg 3.76
Rb: 0.1984 0.1984 0.0000  1 Br 3.44, 1 Hg 3.68
Rb: 0.5000 0.0000 0.5000  2 Br 3.43, 4 Hg 3.76
Rb: 0.8016 0.8016 0.0000  1 Br 3.44, 1 Hg 3.68
Hg: 0.4105 0.4105 0.0000  1 Hg 3.11
Hg: 0.5895 0.5895 0.0000  1 Hg 3.11
Br: 0.0000 0.0000 0.0000  6 Rb 3.43-3.44

Values from the calculation:
Uncorrected formation energy = -538 meV/atom
SG = I4/mmm (139)

4.
First-principles (PBE) data for crystalline La2Nd6TmMg at its relaxed geometry, as listed in Alexandria.

a b c (Å): 8.6994 8.6994 9.5558
angles (deg): 95.85 95.85 105.43
Closest atoms and distances in Å follow each position.
Fractional positions:
La: 0.2030 0.2653 0.0877  2 Tm 3.40-3.75, 6 Nd 3.41-3.73, 1 Mg 3.48
La: 0.2653 0.2030 0.5877  2 Tm 3.40-3.75, 6 Nd 3.41-3.73, 1 Mg 3.48
La: 0.7347 0.7970 0.4123  2 Tm 3.40-3.75, 6 Nd 3.41-3.73, 1 Mg 3.48
La: 0.7970 0.7347 0.9123  2 Tm 3.40-3.75, 6 Nd 3.41-3.73, 1 Mg 3.48
Nd: 0.0299 0.4654 0.8239  1 Mg 3.30, 1 Tm 3.33, 3 Nd 3.48-3.56, 2 La 3.57-3.63
Nd: 0.0794 0.7398 0.5742  3 Nd 3.39-3.57, 1 La 3.41, 1 Mg 3.66, 2 Tm 3.68-3.72
Nd: 0.2602 0.9206 0.9258  3 Nd 3.39-3.57, 1 La 3.41, 1 Mg 3.66, 2 Tm 3.68-3.72
Nd: 0.3302 0.5703 0.4053  2 Mg 3.26-3.46, 3 Nd 3.31-3.56, 1 La 3.54
Nd: 0.4297 0.6698 0.0947  2 Mg 3.26-3.46, 3 Nd 3.31-3.56, 1 La 3.54
Nd: 0.4654 0.0299 0.3239  1 Mg 3.30, 1 Tm 3.33, 3 Nd 3.48-3.56, 2 La 3.57-3.63
Nd: 0.5346 0.9701 0.6761  1 Mg 3.30, 1 Tm 3.33, 3 Nd 3.48-3.56, 2 La 3.57-3.63
Nd: 0.5703 0.3302 0.9053  2 Mg 3.26-3.46, 3 Nd 3.31-3.56, 1 La 3.54
Nd: 0.6698 0.4297 0.5947  2 Mg 3.26-3.46, 3 Nd 3.31-3.56, 1 La 3.54
Nd: 0.7398 0.0794 0.0742  3 Nd 3.39-3.57, 1 La 3.41, 1 Mg 3.66, 2 Tm 3.68-3.72
Nd: 0.9206 0.2602 0.4258  3 Nd 3.39-3.57, 1 La 3.41, 1 Mg 3.66, 2 Tm 3.68-3.72
Nd: 0.9701 0.5346 0.1761  1 Mg 3.30, 1 Tm 3.33, 3 Nd 3.48-3.56, 2 La 3.57-3.63
Tm: 0.0660 0.9340 0.2500  6 Nd 3.33-3.72, 2 La 3.40
Tm: 0.9340 0.0660 0.7500  6 Nd 3.33-3.72, 2 La 3.40
Mg: 0.4003 0.5997 0.7500  6 Nd 3.26-3.46, 2 La 3.48
Mg: 0.5997 0.4003 0.2500  6 Nd 3.26-3.46, 2 La 3.48

Values from the calculation:
Energy of formation = 0.110 eV per atom
SG = C2/c (15)

5.
First-principles (PBE) data for crystalline ZrSICl2 at its relaxed geometry, as listed in Alexandria.

a b c (Å): 5.3492 5.3492 5.4896
angles (deg): 90.00 90.00 90.00
Closest atoms and distances in Å follow each position.
Fractional positions:
Zr: 0.0000 0.0000 0.0000  4 S 3.78, 8 Cl 3.83
S: 0.5000 0.5000 0.0000  2 I 2.74
I: 0.5000 0.5000 0.5000  4 Cl 2.67, 2 S 2.74
Cl: 0.0000 0.5000 0.5000  2 I 2.67
Cl: 0.5000 0.0000 0.5000  2 I 2.67

Values from the calculation:
Uncorrected formation energy = 720 meV/atom
SG = P4/mmm (123)

6.
First-principles (PBE) data for crystalline Pr4NdCo at its relaxed geometry, as listed in Alexandria.

a b c (Å): 4.8502 4.8502 9.0093
angles (deg): 90.00 90.00 90.00
Closest atoms and distances in Å follow each position.
Fractional positions:
Pr: 0.0000 0.5000 0.1864  2 Co 2.95
Pr: 0.0000 0.5000 0.8136  2 Co 2.95
Pr: 0.5000 0.0000 0.1864  2 Co 2.95
Pr: 0.5000 0.0000 0.8136  2 Co 2.95
Nd: 0.0000 0.0000 0.5000  8 Pr 3.72
Co: 0.5000 0.5000 0.0000  8 Pr 2.95

Values from the calculation:
Energy of formation = 0.349 eV per atom
SG = P4/mmm (123)

7.
First-principles (PBE) data for crystalline Nd5Tl2Ru at its relaxed geometry, as listed in Alexandria.

a b c (Å): 8.1056 12.4583 4.8012
angles (deg): 90.00 90.00 90.00
Closest atoms and distances in Å follow each position.
Fractional positions:
Nd: 0.0000 0.0000 0.0000  4 Tl 3.26, 4 Nd 3.62
Nd: 0.1384 0.2989 0.0000  1 Ru 2.75
Nd: 0.1839 0.5694 0.5000  2 Ru 2.95
Nd: 0.3161 0.0694 0.5000  2 Ru 2.95
Nd: 0.3616 0.7989 0.0000  1 Ru 2.75
Nd: 0.5000 0.5000 0.0000  4 Tl 3.26, 4 Nd 3.62
Nd: 0.6384 0.2011 0.0000  1 Ru 2.75
Nd: 0.6839 0.9306 0.5000  2 Ru 2.95
Nd: 0.8161 0.4306 0.5000  2 Ru 2.95
Nd: 0.8616 0.7011 0.0000  1 Ru 2.75
Tl: 0.0748 0.8302 0.5000  9 Nd 3.26-3.56
Tl: 0.4252 0.3302 0.5000  9 Nd 3.26-3.56
Tl: 0.5748 0.6698 0.5000  9 Nd 3.26-3.56
Tl: 0.9252 0.1698 0.5000  9 Nd 3.26-3.56
Ru: 0.0000 0.5000 0.0000  6 Nd 2.75-2.95
Ru: 0.5000 0.0000 0.0000  6 Nd 2.75-2.95

Values from the calculation:
Energy of formation = -0.310 eV per atom
SG = Pbam (55)

8.
First-principles (PBE) data for crystalline PrSm14Zr at its relaxed geometry, as listed in Alexandria.

a b c (Å): 7.2137 7.2137 10.1619
angles (deg): 90.00 90.00 90.00
Closest atoms and distances in Å follow each position.
Fractional positions:
Pr: 0.0000 0.0000 0.0000  12 Sm 3.61
Sm: 0.0000 0.0000 0.5000  12 Sm 3.61-3.68
Sm: 0.0000 0.5000 0.0000  8 Sm 3.56, 2 Zr 3.61, 2 Pr 3.61
Sm: 0.0000 0.5000 0.5000  12 Sm 3.61-3.64
Sm: 0.2562 0.2562 0.2446  1 Zr 3.52, 10 Sm 3.52-3.70, 1 Pr 3.61
Sm: 0.2562 0.2562 0.7554  1 Zr 3.52, 10 Sm 3.52-3.70, 1 Pr 3.61
Sm: 0.2562 0.7438 0.2446  1 Zr 3.52, 10 Sm 3.52-3.70, 1 Pr 3.61
Sm: 0.2562 0.7438 0.7554  1 Zr 3.52, 10 Sm 3.52-3.70, 1 Pr 3.61
Sm: 0.5000 0.0000 0.0000  8 Sm 3.56, 2 Zr 3.61, 2 Pr 3.61
Sm: 0.5000 0.0000 0.5000  12 Sm 3.61-3.64
Sm: 0.5000 0.5000 0.5000  12 Sm 3.59-3.61
Sm: 0.7438 0.2562 0.2446  1 Zr 3.52, 10 Sm 3.52-3.70, 1 Pr 3.61
Sm: 0.7438 0.2562 0.7554  1 Zr 3.52, 10 Sm 3.52-3.70, 1 Pr 3.61
Sm: 0.7438 0.7438 0.2446  1 Zr 3.52, 10 Sm 3.52-3.70, 1 Pr 3.61
Sm: 0.7438 0.7438 0.7554  1 Zr 3.52, 10 Sm 3.52-3.70, 1 Pr 3.61
Zr: 0.5000 0.5000 0.0000  12 Sm 3.52-3.61

Values from the calculation:
Energy of formation = 0.044 eV per atom
SG = P4/mmm (123)

9.
First-principles (PBE) data for crystalline RbAs2Br6 at its relaxed geometry, as listed in Alexandria.

a b c (Å): 9.6929 9.6929 11.1959
angles (deg): 115.81 115.81 84.39
Closest atoms and distances in Å follow each position.
Fractional positions:
Rb: 0.0960 0.9040 0.7500  6 Br 3.54-3.58
Rb: 0.9040 0.0960 0.2500  6 Br 3.54-3.58
As: 0.3371 0.3995 0.7798  2 Br 2.39-2.52
As: 0.3995 0.3371 0.2798  2 Br 2.39-2.52
As: 0.6005 0.6629 0.7202  2 Br 2.39-2.52
As: 0.6629 0.6005 0.2202  2 Br 2.39-2.52
Br: 0.1425 0.5646 0.8095  1 As 2.39
Br: 0.1505 0.1606 0.1126  1 As 2.52
Br: 0.1606 0.1505 0.6126  1 As 2.52
Br: 0.3586 0.4066 0.5386  3 As 2.83-2.90
Br: 0.4066 0.3586 0.0386  3 As 2.83-2.90
Br: 0.4354 0.8575 0.6905  1 As 2.39
Br: 0.5646 0.1425 0.3095  1 As 2.39
Br: 0.5934 0.6414 0.9614  3 As 2.83-2.90
Br: 0.6414 0.5934 0.4614  3 As 2.83-2.90
Br: 0.8394 0.8495 0.3874  1 As 2.52
Br: 0.8495 0.8394 0.8874  1 As 2.52
Br: 0.8575 0.4354 0.1905  1 As 2.39

Values from the calculation:
Uncorrected formation energy = -634 meV/atom
SG = C2/c (15)

10.
First-principles (PBE) data for crystalline Sm3Mg2Ga at its relaxed geometry, as listed in Alexandria.

a b c (Å): 3.7433 3.7433 11.5687
angles (deg): 90.00 90.00 90.00
Closest atoms and distances in Å follow each position.
Fractional positions:
Sm: 0.0000 0.0000 0.0000  8 Mg 3.30
Sm: 0.0000 0.0000 0.3494  4 Ga 3.17, 4 Mg 3.36, 1 Sm 3.48
Sm: 0.0000 0.0000 0.6506  4 Ga 3.17, 4 Mg 3.36, 1 Sm 3.48
Mg: 0.5000 0.5000 0.1708  8 Sm 3.30-3.36
Mg: 0.5000 0.5000 0.8292  8 Sm 3.30-3.36
Ga: 0.5000 0.5000 0.5000  8 Sm 3.17

Values from the calculation:
Energy of formation = -0.251 eV per atom
SG = P4/mmm (123)

11.
First-principles (PBE) data for crystalline CoPb2I at its relaxed geometry, as listed in Alexandria.

a b c (Å): 8.0174 8.0174 8.0174
angles (deg): 130.82 130.82 72.10
Closest atoms and distances in Å follow each position.
Fractional positions:
Co: 0.0000 0.0000 0.0000  4 Pb 2.48
Co: 0.7500 0.2500 0.5000  4 Pb 2.48
Pb: 0.0054 0.6250 0.8804  2 Co 2.48
Pb: 0.3750 0.2554 0.3804  2 Co 2.48
Pb: 0.7446 0.1250 0.1196  2 Co 2.48
Pb: 0.8750 0.9946 0.6196  2 Co 2.48
I: 0.2500 0.7500 0.5000  4 Pb 3.39
I: 0.5000 0.5000 0.0000  4 Pb 3.39

Values from the calculation:
Uncorrected formation energy = 344 meV/atom
SG = I-42d (122)

12.
First-principles (PBE) data for crystalline NdErScIn at its relaxed geometry, as listed in Alexandria.

a b c (Å): 5.3580 5.3580 5.3580
angles (deg): 120.07 120.07 89.88
Closest atoms and distances in Å follow each position.
Fractional positions:
Nd: 0.0000 0.0000 0.0000  4 Er 3.28, 4 Sc 3.28
Er: 0.2500 0.7500 0.5000  4 In 3.28, 4 Nd 3.28
Sc: 0.7500 0.2500 0.5000  4 In 3.28, 4 Nd 3.28
In: 0.5000 0.5000 0.0000  4 Er 3.28, 4 Sc 3.28

Values from the calculation:
Energy of formation = -0.088 eV per atom
SG = I-4m2 (119)